one | Compound: La2TbPm
Source: Alexandria
Functional: GGA-PBE
Structure: optimized geometry

Geometry as POSCAR:
```
La2TbPm
1.0
0.000 4.141 4.141
4.141 0.000 4.141
4.141 4.141 0.000
La Tb Pm
2 1 1
direct
0.250 0.250 0.250
0.750 0.750 0.750
0.000 0.000 0.000
0.500 0.500 0.500
```

Space-group type: Fm-3m, No. 225
Crystal system: cubic

two | Compound: La2TbPm
Source: Alexandria
Functional: GGA-PBE
Structure: optimized geometry

Geometry as POSCAR:
```
La2TbPm
1.0
5.222 0.000 0.000
0.000 5.222 0.000
0.000 0.000 5.120
La Tb Pm
2 1 1
direct
0.000 0.500 0.000
0.500 0.000 0.000
0.000 0.000 0.500
0.500 0.500 0.500
```

Space-group type: P4/mmm, No. 123
Crystal system: tetragonal

In kJ/mol of atoms, relative to the most stable structure: one 8.8; two 0.0.

one | Compound: La2TbPm
Source: Alexandria
Functional: GGA-PBE
Structure: optimized geometry

Geometry as POSCAR:
```
La2TbPm
1.0
1.844 1.065 11.874
-1.844 1.065 11.874
0.000 -2.129 11.874
La Tb Pm
2 1 1
direct
0.249 0.249 0.249
0.751 0.751 0.751
0.500 0.500 0.500
0.000 0.000 0.000
```

Space-group type: R-3m, No. 166
Crystal system: trigonal

two | Compound: La2TbPm
Source: Alexandria
Functional: GGA-PBE
Structure: optimized geometry

Geometry as POSCAR:
```
La2TbPm
1.0
1.842 1.064 11.947
-1.842 1.064 11.947
0.000 -2.127 11.947
La Tb Pm
2 1 1
direct
0.000 0.000 0.000
0.168 0.168 0.168
0.585 0.585 0.585
0.417 0.417 0.417
```

Space-group type: R3m, No. 160
Crystal system: trigonal

In kJ/mol of atoms, relative to the most stable structure: one 0.0; two 1.0.

one | Compound: LaTb6Pm4
Source: Alexandria
Functional: GGA-PBE
Structure: optimized geometry

Geometry as POSCAR:
```
LaTb6Pm4
1.0
11.086 0.000 0.000
-5.543 9.601 0.000
0.000 0.000 3.562
La Tb Pm
1 6 4
direct
0.000 0.000 0.000
0.006 0.503 0.000
0.171 0.342 0.500
0.171 0.829 0.500
0.497 0.503 0.000
0.497 0.994 0.000
0.658 0.829 0.500
0.333 0.667 0.000
0.394 0.197 0.500
0.803 0.197 0.500
0.803 0.606 0.500
```

Space-group type: P-6m2, No. 187
Crystal system: hexagonal

two | Compound: LaTb6Pm4
Source: Alexandria
Functional: GGA-PBE
Structure: optimized geometry

Geometry as POSCAR:
```
LaTb6Pm4
1.0
-3.340 3.340 8.567
3.340 -3.340 8.567
3.340 3.340 -8.567
La Tb Pm
1 6 4
direct
0.000 0.000 0.000
0.000 0.500 0.500
0.195 0.553 0.000
0.447 0.447 0.642
0.500 0.000 0.500
0.553 0.195 0.000
0.805 0.805 0.358
0.013 0.013 0.381
0.367 0.987 0.000
0.633 0.633 0.619
0.987 0.367 0.000
```

Space-group type: I-42m, No. 121
Crystal system: tetragonal

In kJ/mol of atoms, relative to the most stable structure: one 0.0; two 15.5.

one | Compound: La2TbPm4
Source: Alexandria
Functional: GGA-PBE
Structure: optimized geometry

Geometry as POSCAR:
```
La2TbPm4
1.0
6.286 -11.775 0.000
6.286 11.775 0.000
0.000 0.000 6.675
La Tb Pm
8 4 16
direct
0.032 0.968 0.750
0.110 0.610 0.250
0.390 0.890 0.250
0.468 0.532 0.750
0.532 0.468 0.250
0.610 0.110 0.750
0.890 0.390 0.750
0.968 0.032 0.250
0.250 0.250 0.061
0.250 0.250 0.561
0.750 0.750 0.439
0.750 0.750 0.939
0.011 0.231 0.855
0.044 0.711 0.659
0.211 0.544 0.841
0.231 0.011 0.355
0.269 0.489 0.355
0.289 0.956 0.841
0.456 0.789 0.659
0.489 0.269 0.855
0.511 0.731 0.145
0.544 0.211 0.341
0.711 0.044 0.159
0.731 0.511 0.645
0.769 0.989 0.645
0.789 0.456 0.159
0.956 0.289 0.341
0.989 0.769 0.145
```

Space-group type: Ccce, No. 68
Crystal system: orthorhombic

two | Compound: La2TbPm4
Source: Alexandria
Functional: GGA-PBE
Structure: optimized geometry

Geometry as POSCAR:
```
La2TbPm4
1.0
-3.447 5.843 6.195
3.447 -5.843 6.195
3.447 5.843 -6.195
La Tb Pm
4 2 8
direct
0.000 0.000 0.000
0.473 0.223 0.250
0.500 0.000 0.500
0.527 0.777 0.750
0.000 0.000 0.500
0.000 0.500 0.000
0.133 0.642 0.491
0.260 0.286 0.527
0.260 0.733 0.973
0.350 0.358 0.991
0.650 0.642 0.009
0.740 0.267 0.027
0.740 0.714 0.473
0.867 0.358 0.509
```

Space-group type: Imma, No. 74
Crystal system: orthorhombic

In kJ/mol of atoms, relative to the most stable structure: one 0.0; two 3.8.

one | Compound: La4Tb6Pm
Source: Alexandria
Functional: GGA-PBE
Structure: optimized geometry

Geometry as POSCAR:
```
La4Tb6Pm
1.0
-3.419 3.419 8.422
3.419 -3.419 8.422
3.419 3.419 -8.422
La Tb Pm
4 6 1
direct
0.132 0.132 0.618
0.486 0.868 0.000
0.514 0.514 0.382
0.868 0.486 0.000
0.000 0.500 0.500
0.057 0.710 0.000
0.290 0.290 0.347
0.500 0.000 0.500
0.710 0.057 0.000
0.943 0.943 0.653
0.500 0.500 0.000
```

Space-group type: I-42m, No. 121
Crystal system: tetragonal

two | Compound: La4Tb6Pm
Source: Alexandria
Functional: GGA-PBE
Structure: optimized geometry

Geometry as POSCAR:
```
La4Tb6Pm
1.0
11.184 0.000 0.000
-5.592 9.685 0.000
0.000 0.000 3.555
La Tb Pm
4 6 1
direct
0.000 0.000 0.000
0.066 0.533 0.500
0.467 0.533 0.500
0.467 0.934 0.500
0.161 0.323 0.000
0.161 0.839 0.000
0.334 0.167 0.500
0.677 0.839 0.000
0.833 0.167 0.500
0.833 0.666 0.500
0.667 0.333 0.000
```

Space-group type: P-6m2, No. 187
Crystal system: hexagonal

In kJ/mol of atoms, relative to the most stable structure: one 12.6; two 0.0.

one | Compound: La2Tb8Pm3
Source: Alexandria
Functional: GGA-PBE
Structure: optimized geometry

Geometry as POSCAR:
```
La2Tb8Pm3
1.0
7.379 -4.622 0.000
7.379 4.622 0.000
-2.246 0.000 6.669
La Tb Pm
2 8 3
direct
0.223 0.223 0.417
0.777 0.777 0.583
0.191 0.191 0.890
0.198 0.563 0.830
0.422 0.422 0.268
0.437 0.802 0.170
0.563 0.198 0.830
0.578 0.578 0.732
0.802 0.437 0.170
0.809 0.809 0.110
0.000 0.000 0.000
0.176 0.824 0.500
0.824 0.176 0.500
```

Space-group type: C2/m, No. 12
Crystal system: monoclinic

two | Compound: La2Tb8Pm3
Source: Alexandria
Functional: GGA-PBE
Structure: optimized geometry

Geometry as POSCAR:
```
La2Tb8Pm3
1.0
10.515 -3.862 0.000
10.515 3.862 0.000
-0.003 0.000 5.607
La Tb Pm
2 8 3
direct
0.242 0.242 0.499
0.758 0.758 0.501
0.127 0.127 0.000
0.183 0.605 0.500
0.339 0.339 0.999
0.395 0.817 0.500
0.605 0.183 0.500
0.661 0.661 0.001
0.817 0.395 0.500
0.873 0.873 0.000
0.000 0.000 0.500
0.293 0.707 0.000
0.707 0.293 0.000
```

Space-group type: C2/m, No. 12
Crystal system: monoclinic

In kJ/mol of atoms, relative to the most stable structure: one 0.0; two 1.7.